VASP calculation (PBE+U) on a relaxed structure of Sr2FeWO6.

- N(E_F): 0.000 states/eV per cell
- Magnetic moment: 4.0 μB per formula unit
- VASP energy: -70.19 eV per formula unit

a = 7.924 Å, b = 8.245 Å, c = 5.647 Å
α = 90.00°, β = 134.29°, γ = 90.00°
Space group C2/m (No. 12)
One atom of each set of equivalent atoms:
Sr: 0.000 0.250 0.000 (multiplicity 4)
Fe: 0.000 0.000 0.500 (multiplicity 2)
W: 0.000 0.500 0.500 (multiplicity 2)
O: 0.000 0.263 0.500 (multiplicity 4)
O: 0.192 0.500 0.400 (multiplicity 4)
O: 0.215 0.000 0.028 (multiplicity 4)